Below is a crystal of Y2CdRu2 relaxed with PBEsol, with properties calculated at the meta-GGA SCAN level.

Cell and atoms, written as POSCAR:
```
Y2CdRu2
1.0
7.0423 0.0000 0.0000
0.0000 7.0423 0.0000
0.0000 0.0000 4.1004
Y Cd Ru
4 2 4
Cartesian
1.2460 2.2752 0.0000
2.2752 5.7964 0.0000
4.7671 1.2460 0.0000
5.7964 4.7671 0.0000
0.0000 0.0000 2.0502
3.5212 3.5212 2.0502
0.8743 4.3954 2.0502
2.6469 0.8743 2.0502
4.3954 6.1681 2.0502
6.1681 2.6469 2.0502
```

The calculation puts the raw total energy at -314.8 eV for the cell shown. As for the formation energy: -0.327 eV per atom. The density of states at the Fermi level comes out at 6.49 states/eV per cell. The calculation puts the size of the total moment at 0.102 μB per atom.



Below is a crystal of AlBiN2O relaxed with PBEsol, with properties calculated at the meta-GGA SCAN level.

Cell and atoms, written as POSCAR:
```
AlBiN2O
1.0
4.2466 0.0000 0.0000
0.0000 4.2466 0.0000
0.0000 0.0000 4.1004
Al Bi N O
1 1 2 1
Cartesian
0.0000 0.0000 0.0000
2.1233 2.1233 2.0502
0.0000 2.1233 2.0502
2.1233 0.0000 2.0502
2.1233 2.1233 0.0000
```

The calculation puts the raw total energy at -104.8 eV for the cell shown. The raw formation energy is 6.3 eV per formula unit. The density of states at the Fermi level comes out at 2.32 states/eV per cell. The calculation puts the size of the total moment at 0.000 μB per atom.



Below is a crystal of MgCoTe relaxed with PBEsol, with properties calculated at the meta-GGA SCAN level.

Cell and atoms, written as POSCAR:
```
MgCoTe
1.0
0.0000 2.9805 2.9805
2.9805 0.0000 2.9805
2.9805 2.9805 0.0000
Mg Co Te
1 1 1
Cartesian
0.0000 0.0000 0.0000
1.4903 1.4903 1.4903
2.9805 2.9805 2.9805
```

The calculation puts the raw total energy at -60.1 eV for the cell shown. The raw formation energy is -0.6 eV per formula unit. The density of states at the Fermi level comes out at 2.32 states/eV per cell. The calculation puts the size of the total moment at 0.000 μB per atom.



Below is a crystal of Sb4TeW relaxed with PBEsol, with properties calculated at the meta-GGA SCAN level.

Cell and atoms, written as POSCAR:
```
Sb4TeW
1.0
0.0000 4.2696 4.2696
4.2696 0.0000 4.2696
4.2696 4.2696 0.0000
Sb Te W
4 1 1
Cartesian
1.0678 1.0678 1.0678
3.2019 3.2019 1.0678
3.2019 1.0678 3.2019
1.0678 3.2019 3.2019
4.2696 4.2696 4.2696
6.4045 6.4045 6.4045
```

The calculation puts the raw total energy at -248.4 eV for the cell shown. The raw formation energy is 7.6 eV per formula unit. The density of states at the Fermi level comes out at 3.88 states/eV per cell. The calculation puts the size of the total moment at 0.569 μB per atom.



Below is a crystal of BiBr3 relaxed with PBEsol, with properties calculated at the meta-GGA SCAN level.

Cell and atoms, written as POSCAR:
```
BiBr3
1.0
3.5968 -6.2371 0.0000
3.5968 6.2371 0.0000
-2.3005 0.0000 6.5818
Bi Br
2 6
Cartesian
3.5968 4.1626 0.0000
3.5968 -4.1626 0.0000
0.0390 2.1886 4.9304
1.0455 0.0000 1.6825
0.0390 -2.1886 4.9304
4.8541 2.1886 1.6514
3.8476 0.0000 4.8994
4.8541 -2.1886 1.6514
```

The calculation puts the raw total energy at -279.5 eV for the cell shown. The raw formation energy is -2.8 eV per formula unit. The density of states at the Fermi level comes out at 0.00 states/eV per cell. The calculation puts the size of the total moment at 0.000 μB per atom.



Below is a crystal of B3RhCl relaxed with PBEsol, with properties calculated at the meta-GGA SCAN level.

Cell and atoms, written as POSCAR:
```
B3RhCl
1.0
4.1038 0.0000 0.0000
0.0000 4.1038 0.0000
0.0000 0.0000 4.1038
B Rh Cl
3 1 1
Cartesian
0.0000 0.0000 2.0519
0.0000 2.0519 0.0000
2.0519 0.0000 0.0000
0.0000 0.0000 0.0000
2.0519 2.0519 2.0519
```

The calculation puts the raw total energy at -59.7 eV for the cell shown. The raw formation energy is 4.4 eV per formula unit. The density of states at the Fermi level comes out at 2.43 states/eV per cell. The calculation puts the size of the total moment at 0.000 μB per atom.